Arrangement 1

Below is crystalline MnAgAs2 at its relaxed geometry, with properties calculated at the PBE level.

Symmetry: P4/mmm
D(E_F), states/eV per cell: 0.94
Magnetic moment, μB per atom: 0.00

Unit cell a=2.9358 b=2.9358 c=7.5906 alpha=90.00 beta=90.00 gamma=90.00
Last column: nearest neighbours and their distance in Å.
Fractional positions:
Mn 0.0000 0.0000 0.0000  8 As 2.53
Ag 0.0000 0.0000 0.5000  4 Ag 2.94, 8 As 3.13
As 0.5000 0.5000 0.1917  4 Mn 2.53
As 0.5000 0.5000 0.8083  4 Mn 2.53

Arrangement 2

Below is crystalline MnAgAs2 at its relaxed geometry, with properties calculated at the PBE level.

Symmetry: P4mm
D(E_F), states/eV per cell: 2.19
Magnetic moment, μB per atom: 0.88

Unit cell a=2.8301 b=2.8301 c=9.3101 alpha=90.00 beta=90.00 gamma=90.00
Last column: nearest neighbours and their distance in Å.
Fractional positions:
Mn 0.0000 0.0000 0.0000  4 As 2.65, 4 Mn 2.83, 4 Ag 2.87
Ag 0.5000 0.5000 0.2214  4 Ag 2.83, 4 Mn 2.87, 4 As 2.99
As 0.0000 0.0000 0.4593  4 As 2.83, 4 Ag 2.99
As 0.5000 0.5000 0.8134  4 Mn 2.65, 4 As 2.83

Least stable structure: arrangement 2

Arrangement 1

Below is crystalline MnAgAs2 at its relaxed geometry, with properties calculated at the PBE level.

Symmetry: Cmmm
D(E_F), states/eV per cell: 1.63
Magnetic moment, μB per atom: 0.74

Unit cell a=2.9601 b=2.9601 c=8.0993 alpha=90.00 beta=90.00 gamma=101.84
Last column: nearest neighbours and their distance in Å.
Fractional positions:
Mn 0.0000 0.0000 0.0000  4 As 2.54
Ag 0.0000 0.0000 0.5000  4 Ag 2.96, 8 As 2.99-3.27
As 0.5000 0.5000 0.2120  2 Mn 2.54
As 0.5000 0.5000 0.7880  2 Mn 2.54

Arrangement 2

Below is crystalline MnAgAs2 at its relaxed geometry, with properties calculated at the PBE level.

Symmetry: Pm
D(E_F), states/eV per cell: 1.56
Magnetic moment, μB per atom: 0.89

Unit cell a=2.9771 b=4.6260 c=5.3407 alpha=90.00 beta=105.43 gamma=90.00
Last column: nearest neighbours and their distance in Å.
Fractional positions:
Mn 0.0000 0.0000 0.0000  7 As 2.72-2.87, 2 Ag 2.98, 2 Mn 2.98
Ag 0.1820 0.5000 0.3635  7 As 2.70-2.94, 2 Mn 2.98, 2 Ag 2.98
As 0.4082 0.5000 0.8872  3 Ag 2.70-2.94, 4 Mn 2.75-2.87, 2 As 2.98
As 0.7275 0.0000 0.4475  3 Mn 2.72-2.84, 4 Ag 2.78-2.79, 2 As 2.98

Least stable structure: arrangement 2